1.
Here is an optimized crystal structure of CaPa2TcN5 from Alexandria via LeMat-Bulk. Energies are from PBE.

abc: 7.4111 7.4111 7.4111
angles: 126.87 126.87 78.46
Fractional coordinates of all 18 atoms:
Ca (0.2500, 0.2500, 0.0000)
Ca (0.7500, 0.7500, 0.0000)
Pa (0.1802, 0.6802, 0.8605)
Pa (0.3198, 0.1802, 0.5000)
Pa (0.6802, 0.8198, 0.5000)
Pa (0.8198, 0.3198, 0.1395)
Tc (0.2500, 0.7500, 0.5000)
Tc (0.7500, 0.2500, 0.5000)
N (0.0000, 0.0000, 0.0000)
N (0.0145, 0.2223, 0.5000)
N (0.2223, 0.7223, 0.2079)
N (0.2777, 0.4855, 0.5000)
N (0.4855, 0.9855, 0.2079)
N (0.5000, 0.5000, 0.0000)
N (0.5145, 0.0145, 0.7921)
N (0.7223, 0.5145, 0.5000)
N (0.7777, 0.2777, 0.7921)
N (0.9855, 0.7777, 0.5000)

Results
* space group: I4/mcm, No. 140
* E_form (uncorrected): -1.0761 eV/atom
* DOS at the Fermi energy: 11.88 states/eV per cell
* uncorrected energy: -9.1856 eV per atom

***

2.
Here is an optimized crystal structure of CaPaTc2N6 from Alexandria via LeMat-Bulk. Energies are from PBE.

abc: 7.1178 7.1178 5.9649
angles: 102.61 102.61 83.28
Fractional coordinates of all 20 atoms:
Ca (0.0805, 0.9195, 0.7500)
Ca (0.9195, 0.0805, 0.2500)
Pa (0.3234, 0.6766, 0.2500)
Pa (0.6766, 0.3234, 0.7500)
Tc (0.1976, 0.3962, 0.7418)
Tc (0.3962, 0.1976, 0.2418)
Tc (0.6038, 0.8024, 0.7582)
Tc (0.8024, 0.6038, 0.2582)
N (0.0071, 0.7504, 0.3372)
N (0.1331, 0.6367, 0.8974)
N (0.2496, 0.9929, 0.1628)
N (0.3324, 0.3959, 0.4944)
N (0.3633, 0.8669, 0.6026)
N (0.3959, 0.3324, 0.9944)
N (0.6041, 0.6676, 0.0056)
N (0.6367, 0.1331, 0.3974)
N (0.6676, 0.6041, 0.5056)
N (0.7504, 0.0071, 0.8372)
N (0.8669, 0.3633, 0.1026)
N (0.9929, 0.2496, 0.6628)

Results
* space group: C2/c, No. 15
* E_form (uncorrected): -0.5605 eV/atom
* DOS at the Fermi energy: 7.23 states/eV per cell
* uncorrected energy: -8.7787 eV per atom

***

3.
Here is an optimized crystal structure of CaTh3Pa4N12 from Alexandria via LeMat-Bulk. Energies are from PBE.

abc: 7.4821 7.4821 7.4821
angles: 109.47 109.47 109.47
Fractional coordinates of all 20 atoms:
Ca (0.0000, 0.0000, 0.0000)
Th (0.0000, 0.5000, 0.5000)
Th (0.5000, 0.0000, 0.5000)
Th (0.5000, 0.5000, 0.0000)
Pa (0.0000, 0.0000, 0.5000)
Pa (0.0000, 0.5000, 0.0000)
Pa (0.5000, 0.0000, 0.0000)
Pa (0.5000, 0.5000, 0.5000)
N (0.1090, 0.8027, 0.3064)
N (0.1973, 0.3064, 0.5037)
N (0.1973, 0.6936, 0.8910)
N (0.3064, 0.1090, 0.8027)
N (0.3064, 0.5037, 0.1973)
N (0.4963, 0.8027, 0.6936)
N (0.5037, 0.1973, 0.3064)
N (0.6936, 0.4963, 0.8027)
N (0.6936, 0.8910, 0.1973)
N (0.8027, 0.3064, 0.1090)
N (0.8027, 0.6936, 0.4963)
N (0.8910, 0.1973, 0.6936)

Results
* space group: Im-3, No. 204
* E_form (uncorrected): -1.3866 eV/atom
* DOS at the Fermi energy: 20.09 states/eV per cell
* uncorrected energy: -9.4940 eV per atom

***

Which formula does entry 1 have? CaPa2TcN5